# 1
A relaxed structure of Th5Pb4. Source: Alexandria via LeMat-Bulk, functional GGA-PBEsol.

Results
- N(E_F) (states/eV per cell) = 16.184
- total magnetization (μB/f.u.) = 0.00
- theoretical density (Mg/m³) = 12.4
- ΔE_f (eV/f.u.) = -3.582
- SG = P6_3/mcm, No. 193

abc: 6.554 9.684 9.684
angles: 120.00 90.00 90.00
Sites, in units of the cell vectors:
Pb1 0.250 0.000 0.379
Th1 0.500 0.333 0.667
Pb2 0.750 0.621 0.000
Th2 0.250 0.000 0.718
Th3 0.750 0.000 0.282
Pb3 0.750 0.000 0.621
Th4 0.000 0.667 0.333
Th5 0.250 0.718 0.000
Th6 0.750 0.282 0.000
Pb4 0.000 0.000 0.000
Pb5 0.250 0.379 0.000
Th7 0.500 0.667 0.333
Th8 0.000 0.333 0.667
Pb6 0.250 0.621 0.621
Pb7 0.750 0.379 0.379
Th9 0.250 0.282 0.282
Pb8 0.500 0.000 0.000
Th10 0.750 0.718 0.718

# 2
A relaxed structure of Ba6Nd2YMo3O18. Source: Alexandria via LeMat-Bulk, functional GGA-PBEsol.

Results
- N(E_F) (states/eV per cell) = 9.225
- total magnetization (μB/f.u.) = 0.01
- theoretical density (Mg/m³) = 6.5
- final energy (eV per cell) = -243.44
- SG = C2/m, No. 12

abc: 5.956 8.492 10.344
angles: 114.23 106.72 90.00
Sites, in units of the cell vectors:
O1 0.453 0.749 0.499
O2 0.547 0.251 0.501
O3 0.694 0.934 0.869
Mo1 0.837 0.335 0.670
Ba1 0.337 0.582 0.671
Y1 0.500 0.500 0.000
Ba2 0.000 0.745 0.000
O4 0.135 0.420 0.839
O5 0.652 0.406 0.812
O6 0.500 0.234 0.000
O7 0.164 0.894 0.329
Ba3 0.337 0.088 0.671
Mo2 0.163 0.665 0.330
Ba4 0.000 0.255 0.000
O8 0.836 0.565 0.671
O9 0.218 0.913 0.826
O10 0.023 0.267 0.535
O11 0.348 0.594 0.188
O12 0.500 0.766 0.000
Ba5 0.663 0.418 0.329
O13 0.164 0.435 0.329
Nd1 0.167 0.167 0.334
Ba6 0.663 0.912 0.329
Nd2 0.833 0.833 0.666
O14 0.306 0.066 0.131
O15 0.977 0.733 0.465
O16 0.782 0.087 0.174
O17 0.865 0.580 0.161
O18 0.836 0.106 0.671
Mo3 0.500 0.000 0.000

# 3
A relaxed structure of CsCr2Tc2. Source: Alexandria via LeMat-Bulk, functional GGA-PBEsol.

Results
- N(E_F) (states/eV per cell) = 3.201
- total magnetization (μB/f.u.) = 0.00
- theoretical density (Mg/m³) = 6.7
- ΔE_f (eV/f.u.) = 4.949
- SG = I4/mmm, No. 139

abc: 3.899 3.899 7.603
angles: 104.86 104.86 90.00
Sites, in units of the cell vectors:
Cs1 0.000 0.000 0.000
Cr1 0.250 0.750 0.500
Tc1 0.340 0.340 0.679
Cr2 0.750 0.250 0.500
Tc2 0.660 0.660 0.321

# 4
A relaxed structure of Ba2TaOs. Source: Alexandria via LeMat-Bulk, functional GGA-PBEsol.

Results
- N(E_F) (states/eV per cell) = 2.922
- total magnetization (μB/f.u.) = 0.00
- theoretical density (Mg/m³) = 11.0
- ΔE_f (eV/f.u.) = 4.881
- SG = I4/mmm, No. 139

abc: 4.171 4.171 6.339
angles: 109.21 109.21 90.00
Sites, in units of the cell vectors:
Ba1 0.250 0.750 0.500
Ba2 0.750 0.250 0.500
Os1 0.500 0.500 0.000
Ta1 0.000 0.000 0.000

# 5
A relaxed structure of NaTl2W. Source: Alexandria via LeMat-Bulk, functional GGA-PBEsol.

Results
- N(E_F) (states/eV per cell) = 2.701
- total magnetization (μB/f.u.) = 2.13
- theoretical density (Mg/m³) = 12.2
- ΔE_f (eV/f.u.) = 3.504
- SG = Fm-3m, No. 225

abc: 4.909 4.909 4.909
angles: 60.00 60.00 60.00
Each line ends with the local moment (μB).
Sites, in units of the cell vectors:
Tl1 0.250 0.250 0.250  -0.01
Na1 0.000 0.000 0.000  -0.01
Tl2 0.750 0.750 0.750  -0.01
W1 0.500 0.500 0.500  1.68

# 6
A relaxed structure of TaBe2Hg. Source: Alexandria via LeMat-Bulk, functional GGA-PBEsol.

Results
- N(E_F) (states/eV per cell) = 3.633
- total magnetization (μB/f.u.) = 0.00
- theoretical density (Mg/m³) = 11.8
- ΔE_f (eV/f.u.) = 1.787
- SG = I-4m2, No. 119

abc: 3.630 3.630 4.970
angles: 111.42 111.42 90.00
Sites, in units of the cell vectors:
Ta1 0.250 0.750 0.500
Be1 0.000 0.000 0.000
Be2 0.750 0.250 0.500
Hg1 0.500 0.500 0.000

theoretical density of number 4 (Ba2TaOs)?
11.0 Mg/m³